[1]
# RbLiBe2I6 GGA-PBE relaxed
# calculated total energy: -2.82 eV/atom
# calculated volume: 42.7 A^3/atom
# space-group type: No. 15
# size of the total moment: 0.000 Bohr magnetons per cell
# theoretical density: 3.39 g/cm3
data_RbLiBe2I6
_space_group_name_H-M_alt 'P 1'
_space_group_IT_number 1
_space_group_name_Hall 'P 1'
_cell_length_a 11.366
_cell_length_b 11.366
_cell_length_c 6.822
_cell_angle_alpha 97.24
_cell_angle_beta 97.24
_cell_angle_gamma 98.80
loop_
_atom_site_label
_atom_site_fract_x
_atom_site_fract_y
_atom_site_fract_z
Rb1 0.195 0.805 0.250
Rb2 0.805 0.195 0.750
Li1 0.509 0.491 0.250
Li2 0.491 0.509 0.750
Be1 0.308 0.168 0.908
Be2 0.832 0.692 0.592
Be3 0.692 0.832 0.092
Be4 0.168 0.308 0.408
I1 0.973 0.326 0.266
I2 0.674 0.027 0.234
I3 0.027 0.674 0.734
I4 0.326 0.973 0.766
I5 0.261 0.149 0.247
I6 0.851 0.739 0.253
I7 0.739 0.851 0.753
I8 0.149 0.261 0.747
I9 0.306 0.502 0.439
I10 0.498 0.694 0.061
I11 0.694 0.498 0.561
I12 0.502 0.306 0.939

---

[2]
# CaMgTlPb GGA-PBE relaxed
# calculated total energy: -2.71 eV/atom
# excess energy over the best structure of this formula in the dataset: 0 meV per atom
# calculated volume: 27.6 A^3/atom
# formation energy from the elements: -28.50 kJ/mol of atoms
# space-group type: No. 47
# size of the total moment: 0.000 Bohr magnetons per cell
# theoretical density: 7.16 g/cm3
data_CaMgTlPb
_space_group_name_H-M_alt 'P 1'
_space_group_IT_number 1
_space_group_name_Hall 'P 1'
_cell_length_a 4.222
_cell_length_b 5.106
_cell_length_c 5.120
_cell_angle_alpha 90.00
_cell_angle_beta 90.00
_cell_angle_gamma 90.00
loop_
_atom_site_label
_atom_site_fract_x
_atom_site_fract_y
_atom_site_fract_z
Ca1 0.500 0.000 0.500
Mg1 0.500 0.500 0.000
Tl1 0.000 0.500 0.500
Pb1 0.000 0.000 0.000

---

[3]
# TiCrAgS4 GGA-PBE relaxed
# calculated total energy: -5.91 eV/atom
# excess energy over the best structure of this formula in the dataset: 182 meV per atom
# calculated volume: 22.1 A^3/atom
# space-group type: No. 31
# size of the total moment: 9.284 Bohr magnetons per cell
# theoretical density: 3.60 g/cm3
data_TiCrAgS4
_space_group_name_H-M_alt 'P 1'
_space_group_IT_number 1
_space_group_name_Hall 'P 1'
_cell_length_a 5.812
_cell_length_b 8.490
_cell_length_c 12.558
_cell_angle_alpha 90.00
_cell_angle_beta 90.00
_cell_angle_gamma 90.00
loop_
_atom_site_label
_atom_site_fract_x
_atom_site_fract_y
_atom_site_fract_z
Ti1 0.707 0.500 0.265
Ti2 0.293 0.000 0.765
Ti3 0.582 0.500 0.043
Ti4 0.418 0.000 0.543
Cr1 0.783 0.000 0.735
Cr2 0.217 0.500 0.235
Cr3 0.923 0.000 0.940
Cr4 0.077 0.500 0.440
Ag1 0.980 0.000 0.379
Ag2 0.662 0.500 0.697
Ag3 0.020 0.500 0.879
Ag4 0.338 0.000 0.197
S1 0.019 0.193 0.826
S2 0.464 0.307 0.161
S3 0.981 0.307 0.326
S4 0.536 0.193 0.661
S5 0.536 0.807 0.661
S6 0.981 0.693 0.326
S7 0.464 0.693 0.161
S8 0.019 0.807 0.826
S9 0.529 0.000 0.373
S10 0.033 0.500 0.605
S11 0.471 0.500 0.873
S12 0.967 0.000 0.105
S13 0.959 0.500 0.087
S14 0.555 0.000 0.901
S15 0.041 0.000 0.587
S16 0.445 0.500 0.401

---

[4]
# Ca3SiGe4 GGA-PBE relaxed
# calculated total energy: -4.05 eV/atom
# calculated volume: 25.4 A^3/atom
# space-group type: No. 71
# size of the total moment: 0.000 Bohr magnetons per cell
# theoretical density: 3.58 g/cm3
data_Ca3SiGe4
_space_group_name_H-M_alt 'P 1'
_space_group_IT_number 1
_space_group_name_Hall 'P 1'
_cell_length_a 4.533
_cell_length_b 5.801
_cell_length_c 8.572
_cell_angle_alpha 109.78
_cell_angle_beta 105.33
_cell_angle_gamma 90.00
loop_
_atom_site_label
_atom_site_fract_x
_atom_site_fract_y
_atom_site_fract_z
Ca1 0.193 0.193 0.386
Ca2 0.807 0.807 0.614
Ca3 0.000 0.500 0.000
Si1 0.500 0.000 0.000
Ge1 0.380 0.591 0.760
Ge2 0.620 0.409 0.240
Ge3 0.620 0.831 0.240
Ge4 0.380 0.169 0.760

---

[5]
# BaGa GGA-PBE relaxed
# calculated total energy: -2.73 eV/atom
# calculated volume: 45.8 A^3/atom
# formation energy from the elements: -25.01 kJ/mol of atoms
# space-group type: No. 194
# size of the total moment: 0.000 Bohr magnetons per cell
# theoretical density: 3.75 g/cm3
data_BaGa
_space_group_name_H-M_alt 'P 1'
_space_group_IT_number 1
_space_group_name_Hall 'P 1'
_cell_length_a 12.014
_cell_length_b 12.014
_cell_length_c 4.397
_cell_angle_alpha 90.00
_cell_angle_beta 90.00
_cell_angle_gamma 120.00
loop_
_atom_site_label
_atom_site_fract_x
_atom_site_fract_y
_atom_site_fract_z
Ba1 0.790 0.581 0.250
Ba2 0.210 0.790 0.750
Ba3 0.419 0.210 0.250
Ba4 0.210 0.419 0.750
Ba5 0.790 0.210 0.250
Ba6 0.581 0.790 0.750
Ga1 0.470 0.939 0.250
Ga2 0.530 0.470 0.750
Ga3 0.061 0.530 0.250
Ga4 0.530 0.061 0.750
Ga5 0.470 0.530 0.250
Ga6 0.939 0.470 0.750

---

[6]
# Pm2Dy5Er GGA-PBE relaxed
# calculated total energy: -4.62 eV/atom
# excess energy over the best structure of this formula in the dataset: 0 meV per atom
# calculated volume: 32.0 A^3/atom
# formation energy from the elements: 1.67 kJ/mol of atoms
# space-group type: No. 55
# size of the total moment: 0.001 Bohr magnetons per cell
# theoretical density: 8.24 g/cm3
data_Pm2Dy5Er
_space_group_name_H-M_alt 'P 1'
_space_group_IT_number 1
_space_group_name_Hall 'P 1'
_cell_length_a 5.033
_cell_length_b 7.131
_cell_length_c 14.262
_cell_angle_alpha 90.00
_cell_angle_beta 90.00
_cell_angle_gamma 90.00
loop_
_atom_site_label
_atom_site_fract_x
_atom_site_fract_y
_atom_site_fract_z
Pm1 0.500 0.250 0.625
Pm2 0.500 0.750 0.375
Pm3 0.500 0.250 0.125
Pm4 0.500 0.750 0.875
Dy1 0.000 0.000 0.000
Dy2 0.000 0.500 0.500
Dy3 0.000 0.499 0.750
Dy4 0.000 0.501 0.250
Dy5 0.000 0.001 0.250
Dy6 0.000 0.999 0.750
Dy7 0.500 0.250 0.875
Dy8 0.500 0.750 0.125
Dy9 0.500 0.250 0.375
Dy10 0.500 0.750 0.625
Er1 0.000 0.000 0.500
Er2 0.000 0.500 0.000

---

[7]
# HfNbRe2 GGA-PBE relaxed
# calculated total energy: -11.57 eV/atom
# calculated volume: 17.0 A^3/atom
# formation energy from the elements: -32.73 kJ/mol of atoms
# space-group type: No. 123
# size of the total moment: 0.000 Bohr magnetons per cell
# theoretical density: 15.72 g/cm3
data_HfNbRe2
_space_group_name_H-M_alt 'P 1'
_space_group_IT_number 1
_space_group_name_Hall 'P 1'
_cell_length_a 3.234
_cell_length_b 3.234
_cell_length_c 6.500
_cell_angle_alpha 90.00
_cell_angle_beta 90.00
_cell_angle_gamma 90.00
loop_
_atom_site_label
_atom_site_fract_x
_atom_site_fract_y
_atom_site_fract_z
Re1 0.000 0.000 0.758
Re2 0.000 0.000 0.242
Nb1 0.500 0.500 0.000
Hf1 0.500 0.500 0.500

---

[8]
# Er7Zn2Sb2 GGA-PBE relaxed
# calculated total energy: -4.08 eV/atom
# calculated volume: 29.5 A^3/atom
# space-group type: No. 65
# size of the total moment: 0.182 Bohr magnetons per cell
# theoretical density: 7.90 g/cm3
data_Er7Zn2Sb2
_space_group_name_H-M_alt 'P 1'
_space_group_IT_number 1
_space_group_name_Hall 'P 1'
_cell_length_a 7.002
_cell_length_b 6.720
_cell_length_c 7.002
_cell_angle_alpha 90.00
_cell_angle_beta 99.62
_cell_angle_gamma 90.00
loop_
_atom_site_label
_atom_site_fract_x
_atom_site_fract_y
_atom_site_fract_z
Er1 0.000 0.252 0.500
Er2 0.500 0.748 0.000
Er3 0.000 0.748 0.500
Er4 0.500 0.252 0.000
Er5 0.000 0.000 0.000
Er6 0.500 0.759 0.500
Er7 0.500 0.241 0.500
Zn1 0.724 0.000 0.276
Zn2 0.276 0.000 0.724
Sb1 0.797 0.500 0.797
Sb2 0.203 0.500 0.203

---

[9]
# LaZn3P GGA-PBE relaxed
# calculated total energy: -2.78 eV/atom
# excess energy over the best structure of this formula in the dataset: 0 meV per atom
# calculated volume: 21.8 A^3/atom
# formation energy from the elements: 5.42 kJ/mol of atoms
# space-group type: No. 221
# size of the total moment: 0.000 Bohr magnetons per cell
# theoretical density: 5.58 g/cm3
data_LaZn3P
_space_group_name_H-M_alt 'P 1'
_space_group_IT_number 1
_space_group_name_Hall 'P 1'
_cell_length_a 4.777
_cell_length_b 4.777
_cell_length_c 4.777
_cell_angle_alpha 90.00
_cell_angle_beta 90.00
_cell_angle_gamma 90.00
loop_
_atom_site_label
_atom_site_fract_x
_atom_site_fract_y
_atom_site_fract_z
P1 0.000 0.000 0.000
Zn1 0.000 0.500 0.000
Zn2 0.000 0.000 0.500
Zn3 0.500 0.000 0.000
La1 0.500 0.500 0.500

---

[10]
# Na2PtO GGA-PBE relaxed
# calculated total energy: -3.98 eV/atom
# calculated volume: 22.8 A^3/atom
# space-group type: No. 122
# size of the total moment: 0.616 Bohr magnetons per cell
# theoretical density: 4.68 g/cm3
data_Na2PtO
_space_group_name_H-M_alt 'P 1'
_space_group_IT_number 1
_space_group_name_Hall 'P 1'
_cell_length_a 9.497
_cell_length_b 9.497
_cell_length_c 7.013
_cell_angle_alpha 47.39
_cell_angle_beta 47.39
_cell_angle_gamma 90.00
loop_
_atom_site_label
_atom_site_fract_x
_atom_site_fract_y
_atom_site_fract_z
Na1 0.349 0.125 0.250
Na2 0.401 0.625 0.250
Na3 0.375 0.651 0.750
Na4 0.875 0.599 0.750
O1 0.500 0.500 0.000
O2 0.250 0.750 0.500
Pt1 0.000 0.000 0.000
Pt2 0.750 0.250 0.500

---

[11]
# Pr2DyYSe6 GGA-PBE relaxed
# calculated total energy: -6.00 eV/atom
# calculated volume: 30.9 A^3/atom
# space-group type: No. 146
# size of the total moment: 0.000 Bohr magnetons per cell
# theoretical density: 5.42 g/cm3
data_Pr2DyYSe6
_space_group_name_H-M_alt 'P 1'
_space_group_IT_number 1
_space_group_name_Hall 'P 1'
_cell_length_a 7.390
_cell_length_b 7.390
_cell_length_c 7.798
_cell_angle_alpha 61.72
_cell_angle_beta 61.72
_cell_angle_gamma 60.00
loop_
_atom_site_label
_atom_site_fract_x
_atom_site_fract_y
_atom_site_fract_z
Pr1 0.520 0.520 0.439
Pr2 0.020 0.020 0.939
Dy1 0.818 0.819 0.544
Y1 0.319 0.319 0.044
Se1 0.603 0.202 0.259
Se2 0.202 0.936 0.259
Se3 0.936 0.603 0.259
Se4 0.436 0.703 0.758
Se5 0.703 0.103 0.758
Se6 0.103 0.437 0.758

---

[12]
# LiTaSi2 GGA-PBE relaxed
# calculated total energy: -5.84 eV/atom
# excess energy over the best structure of this formula in the dataset: 550 meV per atom
# calculated volume: 14.4 A^3/atom
# space-group type: No. 216
# size of the total moment: 0.000 Bohr magnetons per cell
# theoretical density: 7.01 g/cm3
data_LiTaSi2
_space_group_name_H-M_alt 'P 1'
_space_group_IT_number 1
_space_group_name_Hall 'P 1'
_cell_length_a 4.340
_cell_length_b 4.340
_cell_length_c 4.340
_cell_angle_alpha 60.00
_cell_angle_beta 60.00
_cell_angle_gamma 60.00
loop_
_atom_site_label
_atom_site_fract_x
_atom_site_fract_y
_atom_site_fract_z
Li1 0.500 0.500 0.500
Si1 0.000 0.000 0.000
Si2 0.250 0.250 0.250
Ta1 0.750 0.750 0.750

---

Question: Among the records above, which one has the highest theoretical density?
Answer: HfNbRe2

---

Please write out number 9 again, unchanged.
# LaZn3P GGA-PBE relaxed
# calculated total energy: -2.78 eV/atom
# excess energy over the best structure of this formula in the dataset: 0 meV per atom
# calculated volume: 21.8 A^3/atom
# formation energy from the elements: 5.42 kJ/mol of atoms
# space-group type: No. 221
# size of the total moment: 0.000 Bohr magnetons per cell
# theoretical density: 5.58 g/cm3
data_LaZn3P
_space_group_name_H-M_alt 'P 1'
_space_group_IT_number 1
_space_group_name_Hall 'P 1'
_cell_length_a 4.777
_cell_length_b 4.777
_cell_length_c 4.777
_cell_angle_alpha 90.00
_cell_angle_beta 90.00
_cell_angle_gamma 90.00
loop_
_atom_site_label
_atom_site_fract_x
_atom_site_fract_y
_atom_site_fract_z
P1 0.000 0.000 0.000
Zn1 0.000 0.500 0.000
Zn2 0.000 0.000 0.500
Zn3 0.500 0.000 0.000
La1 0.500 0.500 0.500

---

Question: The lowest calculated volume belongs to which entry?
Answer: LiTaSi2

---

Question: What is the size of the total moment in the twelfth record?
Answer: 0.000 Bohr magnetons per cell